# GaFe4 GGA-PBE relaxed
# Raw total energy (eV/atom): -6.189
# Volume (Å³ per cell): 82
# DOS at the Fermi energy (states/eV/f.u.): 6.130
# Formation energy from the elements (meV/atom): 1187
# Size of the total moment (μB/f.u.): 10.68
data_GaFe4
_chemical_formula_sum 'Ga1 Fe4'
_symmetry_space_group_name_H-M 'P 1'
_symmetry_Int_Tables_number 1
_cell_length_a 4.3516
_cell_length_b 4.3516
_cell_length_c 4.3516
_cell_angle_alpha 90.00
_cell_angle_beta 90.00
_cell_angle_gamma 90.00
loop_
_symmetry_equiv_pos_as_xyz
'x,y,z'
loop_
_atom_site_label
_atom_site_type_symbol
_atom_site_fract_x
_atom_site_fract_y
_atom_site_fract_z
Fe1 Fe 0.0000 0.5000 0.5000
Fe2 Fe 0.5000 0.5000 0.0000
Fe3 Fe 0.0000 0.0000 0.0000
Fe4 Fe 0.5000 0.0000 0.5000
Ga1 Ga 0.5000 0.5000 0.5000